# Ba2NiMo (GGA-PBEsol, optimized geometry)
data_Ba2NiMo
_space_group_name_H-M_alt 'I m m 2'
_space_group_IT_number 44
_space_group_name_Hall 'I 2 -2'
_cell_length_a 3.679
_cell_length_b 5.197
_cell_length_c 11.942
_cell_angle_alpha 90.00
_cell_angle_beta 90.00
_cell_angle_gamma 90.00
loop_
_atom_site_label
_atom_site_fract_x
_atom_site_fract_y
_atom_site_fract_z
Ba1 0.000 0.000 0.000
Ba2 0.000 0.500 0.215
Ni1 0.000 0.000 0.415
Mo1 0.000 0.500 0.803
# E_tot ... -4.87 eV/atom
# Energy above the lowest structure with this stoichiometry ... 0.0 meV/atom
# Energy of formation from the pure elements ... 0.685 eV/atom